No. 1
The following is a PBE-GGA calculation of a relaxed structure of NaSb2Br2, from Alexandria.

Cell: 4.193 4.193 9.628 Å, 77.42 77.42 90.00°
Element x y z (fractional)
Sb 0.750 0.250 0.500
Sb 0.250 0.750 0.500
Br 0.593 0.593 0.814
Na 0.000 0.000 0.000
Br 0.407 0.407 0.186

Fermi-level density of states   0.794 states/eV/atom
Final energy   -14.90 eV/cell

***

No. 2
The following is a PBE-GGA calculation of a relaxed structure of NaSbBr4, from Alexandria.

Cell: 4.264 7.353 7.529 Å, 95.08 89.99 106.86°
Element x y z (fractional)
Br 0.123 0.216 0.331
Sb 0.029 0.000 0.000
Na 0.512 0.000 0.500
Br 0.346 0.763 0.125
Br 0.907 0.784 0.669
Br 0.583 0.237 0.875

Energy relative to the lowest polymorph listed for this composition   0.022 eV per formula unit
Fermi-level density of states   0.000 states/eV/atom
Final energy   -17.61 eV/cell

***

No. 3
The following is a PBE-GGA calculation of a relaxed structure of Na2SbBr6, from Alexandria.

Cell: 7.228 7.495 10.870 Å, 90.00 92.98 90.00°
Element x y z (fractional)
Br 0.299 0.798 0.448
Sb 0.000 0.000 0.500
Br 0.680 0.205 0.921
Na 0.964 0.420 0.781
Na 0.464 0.080 0.281
Br 0.356 0.562 0.767
Br 0.701 0.202 0.552
Br 0.320 0.795 0.079
Br 0.201 0.298 0.052
Br 0.820 0.705 0.579
Na 0.036 0.580 0.219
Br 0.144 0.062 0.733
Sb 0.500 0.500 0.000
Na 0.536 0.920 0.719
Br 0.644 0.438 0.233
Br 0.799 0.702 0.948
Br 0.856 0.938 0.267
Br 0.180 0.295 0.421

Energy relative to the lowest polymorph listed for this composition   0.000 eV per formula unit
Fermi-level density of states   0.689 states/eV/atom
Final energy   -50.38 eV/cell

***

No. 4
The following is a PBE-GGA calculation of a relaxed structure of NaSbBr4, from Alexandria.

Cell: 7.280 7.372 9.781 Å, 105.23 104.86 107.87°
Element x y z (fractional)
Na 0.672 0.422 0.845
Na 0.328 0.578 0.155
Br 0.302 0.035 0.646
Br 0.423 0.693 0.896
Br 0.698 0.965 0.354
Sb 0.176 0.926 0.852
Br 0.577 0.307 0.104
Br 0.972 0.203 0.896
Br 0.028 0.797 0.104
Sb 0.824 0.074 0.148
Br 0.844 0.611 0.646
Br 0.156 0.389 0.354

Energy relative to the lowest polymorph listed for this composition   0.000 eV per formula unit
Fermi-level density of states   0.000 states/eV/atom
Final energy   -35.26 eV/cell

***

No. 5
The following is a PBE-GGA calculation of a relaxed structure of Na2SbBr, from Alexandria.

Cell: 3.502 3.502 8.519 Å, 90.00 90.00 90.00°
Element x y z (fractional)
Sb 0.500 0.500 0.500
Na 0.000 0.000 0.216
Na 0.000 0.000 0.784
Br 0.500 0.500 0.000

Energy relative to the lowest polymorph listed for this composition   0.000 eV per formula unit
Fermi-level density of states   0.288 states/eV/atom
Final energy   -11.65 eV/cell

***

No. 6
The following is a PBE-GGA calculation of a relaxed structure of NaSb2Br2, from Alexandria.

Cell: 7.700 7.700 5.812 Å, 90.00 90.00 90.00°
Element x y z (fractional)
Na 0.000 0.000 0.000
Sb 0.372 0.128 0.500
Br 0.835 0.335 0.000
Br 0.335 0.165 0.000
Br 0.665 0.835 0.000
Sb 0.128 0.628 0.500
Sb 0.628 0.872 0.500
Sb 0.872 0.372 0.500
Na 0.500 0.500 0.000
Br 0.165 0.665 0.000

Fermi-level density of states   0.262 states/eV/atom
Final energy   -29.80 eV/cell